Record 1
VASP calculation (PBE+U) on a relaxed Co3O4F2 crystal. Values from VASP.

Geometry as Quantum ESPRESSO input:
```
&SYSTEM
  ibrav = 0, nat = 18, ntyp = 3
/
ATOMIC_SPECIES
Co 58.93 Co.upf
O 16.00 O.upf
F 19.00 F.upf
ATOMIC_POSITIONS crystal
Co 0.680 0.680 0.862
Co 0.659 0.659 0.329
Co 0.337 0.337 0.653
Co 0.336 0.336 0.172
Co 0.999 0.999 0.498
Co 0.990 0.990 0.996
O 0.973 0.360 0.332
O 0.642 0.031 0.668
O 0.449 0.449 0.371
O 0.762 0.762 0.052
O 0.360 0.973 0.332
O 0.031 0.642 0.668
O 0.691 0.304 0.001
O 0.304 0.691 0.001
F 0.578 0.578 0.612
F 0.882 0.882 0.306
F 0.225 0.225 0.952
F 0.101 0.101 0.695
CELL_PARAMETERS angstrom
-4.791 -2.012 -1.612
-2.916 -1.931 4.167
-5.617 4.593 1.758
```

Calculated values
E above lowest polymorph ... 3.8 meV/atom
Calculated total energy ... -5.41 eV per atom

=====

Record 2
VASP calculation (PBE+U) on a relaxed Co2OF crystal. Values from VASP.

Geometry as Quantum ESPRESSO input:
```
&SYSTEM
  ibrav = 0, nat = 4, ntyp = 3
/
ATOMIC_SPECIES
Co 58.93 Co.upf
O 16.00 O.upf
F 19.00 F.upf
ATOMIC_POSITIONS crystal
Co 0.087 0.087 0.739
Co 0.913 0.913 0.261
O 0.000 0.000 0.000
F 0.500 0.500 0.500
CELL_PARAMETERS angstrom
2.945 0.000 0.000
1.472 2.550 0.000
1.472 0.850 6.611
```

Calculated values
E above lowest polymorph ... 435.5 meV/atom
Calculated total energy ... -4.75 eV per atom

=====

Record 3
VASP calculation (PBE+U) on a relaxed Co2O3F crystal. Values from VASP.

Geometry as Quantum ESPRESSO input:
```
&SYSTEM
  ibrav = 0, nat = 12, ntyp = 3
/
ATOMIC_SPECIES
Co 58.93 Co.upf
O 16.00 O.upf
F 19.00 F.upf
ATOMIC_POSITIONS crystal
Co 0.973 0.221 0.749
Co 0.500 0.499 0.499
Co 0.027 0.776 0.249
Co 0.500 0.999 0.999
O 0.690 0.938 0.749
O 0.310 0.059 0.249
O 0.806 0.499 0.805
O 0.806 0.999 0.305
O 0.194 0.499 0.193
O 0.194 0.999 0.693
F 0.721 0.469 0.249
F 0.279 0.528 0.749
CELL_PARAMETERS angstrom
-2.958 3.026 3.157
2.958 -3.026 3.157
2.958 3.026 -3.157
```

Calculated values
E above lowest polymorph ... 0.0 meV/atom
Calculated total energy ... -5.47 eV per atom

=====

Record 4
VASP calculation (PBE+U) on a relaxed Co6O5F7 crystal. Values from VASP.

Geometry as Quantum ESPRESSO input:
```
&SYSTEM
  ibrav = 0, nat = 18, ntyp = 3
/
ATOMIC_SPECIES
Co 58.93 Co.upf
O 16.00 O.upf
F 19.00 F.upf
ATOMIC_POSITIONS crystal
Co 0.507 0.485 0.996
Co 0.480 0.172 0.334
Co 0.561 0.873 0.684
Co 0.993 0.330 0.666
Co 0.018 0.644 0.324
Co 0.976 0.012 0.003
O 0.815 0.051 0.768
O 0.706 0.536 0.769
O 0.677 0.204 0.107
O 0.304 0.133 0.566
O 0.305 0.458 0.223
F 0.798 0.366 0.427
F 0.799 0.701 0.105
F 0.695 0.863 0.428
F 0.309 0.795 0.904
F 0.185 0.958 0.234
F 0.199 0.301 0.901
F 0.173 0.620 0.560
CELL_PARAMETERS angstrom
4.690 0.040 0.055
0.359 5.534 0.029
0.474 0.588 7.626
```

Calculated values
E above lowest polymorph ... 18.3 meV/atom
Calculated total energy ... -5.25 eV per atom

=====

Record 5
VASP calculation (PBE+U) on a relaxed Co2O3F crystal. Values from VASP.

Geometry as Quantum ESPRESSO input:
```
&SYSTEM
  ibrav = 0, nat = 24, ntyp = 3
/
ATOMIC_SPECIES
Co 58.93 Co.upf
O 16.00 O.upf
F 19.00 F.upf
ATOMIC_POSITIONS crystal
Co 0.003 0.997 0.375
Co 0.003 0.997 0.625
Co 0.014 0.986 0.875
Co 0.014 0.986 0.125
Co 0.530 0.470 0.500
Co 0.480 0.520 0.000
Co 0.479 0.521 0.750
Co 0.479 0.521 0.250
O 0.198 0.802 0.000
O 0.196 0.804 0.750
O 0.196 0.804 0.250
O 0.312 0.299 0.375
O 0.312 0.299 0.625
O 0.296 0.313 0.125
O 0.296 0.313 0.875
O 0.701 0.688 0.375
O 0.701 0.688 0.625
O 0.687 0.704 0.875
O 0.687 0.704 0.125
O 0.813 0.187 0.500
F 0.224 0.776 0.500
F 0.798 0.202 0.000
F 0.789 0.211 0.754
F 0.789 0.211 0.246
CELL_PARAMETERS angstrom
-4.306 0.152 -0.819
-0.616 -1.616 4.030
-0.439 11.012 4.349
```

Calculated values
E above lowest polymorph ... 7.3 meV/atom
Calculated total energy ... -5.46 eV per atom

=====

Record 6
VASP calculation (PBE+U) on a relaxed Co2OF3 crystal. Values from VASP.

Geometry as Quantum ESPRESSO input:
```
&SYSTEM
  ibrav = 0, nat = 24, ntyp = 3
/
ATOMIC_SPECIES
Co 58.93 Co.upf
O 16.00 O.upf
F 19.00 F.upf
ATOMIC_POSITIONS crystal
Co 0.000 0.500 0.500
Co 0.000 0.000 0.000
Co 0.970 0.744 0.767
Co 0.030 0.256 0.233
Co 0.470 0.256 0.733
Co 0.500 0.500 0.000
Co 0.530 0.744 0.267
Co 0.500 0.000 0.500
O 0.703 0.723 0.422
O 0.797 0.723 0.922
O 0.203 0.277 0.078
O 0.297 0.277 0.578
F 0.713 0.490 0.175
F 0.691 0.227 0.909
F 0.716 0.996 0.673
F 0.787 0.490 0.675
F 0.809 0.227 0.409
F 0.784 0.996 0.173
F 0.191 0.773 0.591
F 0.216 0.004 0.827
F 0.213 0.510 0.325
F 0.284 0.004 0.327
F 0.287 0.510 0.825
F 0.309 0.773 0.091
CELL_PARAMETERS angstrom
4.708 0.000 0.000
0.000 5.719 -0.014
0.000 1.169 10.330
```

Calculated values
E above lowest polymorph ... 24.3 meV/atom
Calculated total energy ... -5.17 eV per atom

=====

Record 7
VASP calculation (PBE+U) on a relaxed Co2O3F crystal. Values from VASP.

Geometry as Quantum ESPRESSO input:
```
&SYSTEM
  ibrav = 0, nat = 30, ntyp = 3
/
ATOMIC_SPECIES
Co 58.93 Co.upf
O 16.00 O.upf
F 19.00 F.upf
ATOMIC_POSITIONS crystal
Co 0.001 0.999 0.301
Co 0.991 0.009 0.500
Co 0.001 0.999 0.699
Co 0.007 0.993 0.902
Co 0.007 0.993 0.098
Co 0.553 0.447 0.398
Co 0.438 0.562 0.800
Co 0.553 0.447 0.602
Co 0.438 0.562 0.200
Co 0.454 0.546 0.000
O 0.178 0.822 0.801
O 0.176 0.824 0.000
O 0.178 0.822 0.199
O 0.312 0.301 0.300
O 0.324 0.289 0.500
O 0.305 0.311 0.901
O 0.305 0.311 0.099
O 0.312 0.301 0.700
O 0.699 0.688 0.300
O 0.711 0.676 0.500
O 0.699 0.688 0.700
O 0.689 0.695 0.901
O 0.689 0.695 0.099
O 0.825 0.175 0.401
O 0.825 0.175 0.599
F 0.181 0.819 0.400
F 0.181 0.819 0.600
F 0.825 0.175 0.799
F 0.825 0.175 0.201
F 0.821 0.179 0.000
CELL_PARAMETERS angstrom
-4.417 0.385 1.398
-0.764 -0.137 -4.584
-1.040 -14.089 0.595
```

Calculated values
E above lowest polymorph ... 3.9 meV/atom
Calculated total energy ... -5.46 eV per atom

=====

Record 8
VASP calculation (PBE+U) on a relaxed Co6OF11 crystal. Values from VASP.

Geometry as Quantum ESPRESSO input:
```
&SYSTEM
  ibrav = 0, nat = 18, ntyp = 3
/
ATOMIC_SPECIES
Co 58.93 Co.upf
O 16.00 O.upf
F 19.00 F.upf
ATOMIC_POSITIONS crystal
Co 0.523 0.484 0.992
Co 0.498 0.834 0.666
Co 0.499 0.167 0.335
Co 0.009 0.662 0.329
Co 0.984 0.339 0.678
Co 0.988 0.011 0.999
O 0.795 0.301 0.901
F 0.802 0.630 0.562
F 0.811 0.965 0.232
F 0.693 0.469 0.231
F 0.695 0.796 0.900
F 0.698 0.127 0.566
F 0.306 0.865 0.433
F 0.301 0.539 0.769
F 0.301 0.209 0.103
F 0.195 0.038 0.769
F 0.210 0.698 0.093
F 0.193 0.365 0.441
CELL_PARAMETERS angstrom
-2.693 -2.314 -3.133
0.955 -4.952 2.678
-6.345 0.872 4.698
```

Calculated values
E above lowest polymorph ... 0.0 meV/atom
Calculated total energy ... -5.11 eV per atom